YSn3Pt | Alexandria via LeMat-Bulk | PBE | relaxed; VASP energy = -4.9223 eV per atom; total moment = 0.0 μB per formula unit; symmetry = Pm-3m, No. 221; formation energy from the elements = -0.02 eV per atom
1.0
5.2638 0.0000 0.0000
0.0000 5.2638 0.0000
0.0000 0.0000 5.2638
Sn Pt Y
3 1 1
direct
0.5000 0.0000 0.0000
0.0000 0.5000 0.0000
0.0000 0.0000 0.5000
0.0000 0.0000 0.0000
0.5000 0.5000 0.5000